A plane-wave DFT calculation with SCAN was carried out for a PBEsol-optimized structure of YCoGe.

abc: 4.1870 6.8270 7.0411
angles: 90.00 90.00 90.00
Last column: nearest neighbours and their distance in Å.
Element x y z (fractional)
Y 0.2500 0.9876 0.8050  4 Co 2.85-2.94, 6 Ge 2.92-3.15
Y 0.7500 0.5124 0.3050  4 Co 2.85-2.94, 6 Ge 2.92-3.15
Y 0.2500 0.4876 0.6950  4 Co 2.85-2.94, 6 Ge 2.92-3.15
Y 0.7500 0.0124 0.1950  4 Co 2.85-2.94, 6 Ge 2.92-3.15
Ge 0.7500 0.7007 0.8972  4 Co 2.42-2.53
Ge 0.7500 0.2007 0.6028  4 Co 2.42-2.53
Ge 0.2500 0.2993 0.1028  4 Co 2.42-2.53
Ge 0.2500 0.7993 0.3972  4 Co 2.42-2.53
Co 0.7500 0.3479 0.9332  4 Ge 2.42-2.53
Co 0.7500 0.8479 0.5668  4 Ge 2.42-2.53
Co 0.2500 0.1521 0.4332  4 Ge 2.42-2.53
Co 0.2500 0.6521 0.0668  4 Ge 2.42-2.53

Results
DFT formation energy: -0.66 eV/atom
Space-group type: Pnma (62)
VASP energy: -22.07 eV/atom